Computed, not measured: an optimized crystal structure of Fe2TcNi at the PBE-GGA level of DFT.

Formation enthalpy at 0 K (eV per atom): 0.06
Calculated density (g/cm3): 9.42
Total magnetic moment (μB/f.u.): 3.1
Total energy (eV per atom): -8.2093
D(E_F) (states/eV per cell): 7.7

a = 3.6295 Å, b = 3.6295 Å, c = 7.1840 Å
α = 90.00°, β = 90.00°, γ = 90.00°
Element x y z (fractional)
Fe1 0.0000 0.0000 0.0000
Fe2 0.0000 0.5000 0.2500
Fe3 0.5000 0.0000 0.7500
Fe4 0.5000 0.5000 0.5000
Tc1 0.0000 0.0000 0.5000
Tc2 0.5000 0.5000 0.0000
Ni1 0.0000 0.5000 0.7500
Ni2 0.5000 0.0000 0.2500

=====

Computed, not measured: an optimized crystal structure of NaAc2CuO4 at the PBE-GGA level of DFT.

Formation energy without anion corrections (meV/atom): -2273
Calculated density (g/cm3): 7.43
Total magnetic moment (μB/f.u.): 0.0
Total energy (eV per atom): -6.4557
D(E_F) (states/eV per cell): 0.0

a = 5.9901 Å, b = 5.3633 Å, c = 6.0922 Å
α = 62.67°, β = 52.70°, γ = 64.63°
Element x y z (fractional)
Na1 0.0000 0.0000 0.0000
Ac1 0.2541 0.2541 0.2459
Ac2 0.7541 0.7541 0.7459
Cu1 0.6057 0.6057 0.3943
O1 0.2148 0.7263 0.2737
O2 0.4020 0.8821 0.5980
O3 0.7263 0.2148 0.7852
O4 0.8821 0.4020 0.1179

=====

Computed, not measured: an optimized crystal structure of CaCd2Si at the PBE-GGA level of DFT.

Formation energy without anion corrections (meV/atom): -114
Calculated density (g/cm3): 5.40
Total magnetic moment (μB/f.u.): 0.0
Total energy (eV per atom): -2.4279
D(E_F) (states/eV per cell): 2.5

a = 4.3745 Å, b = 4.3745 Å, c = 4.7072 Å
α = 90.00°, β = 90.00°, γ = 90.00°
Element x y z (fractional)
Ca1 0.0000 0.0000 0.0000
Cd1 0.0000 0.5000 0.5000
Cd2 0.5000 0.0000 0.5000
Si1 0.5000 0.5000 0.0000

=====

Computed, not measured: an optimized crystal structure of Pm5NpBi6 at the PBE-GGA level of DFT.

Formation enthalpy at 0 K (eV per atom): -0.76
Calculated density (g/cm3): 9.09
Total magnetic moment (μB/f.u.): 3.8
Total energy (eV per atom): -5.7601
D(E_F) (states/eV per cell): 11.4

a = 7.9143 Å, b = 7.9143 Å, c = 7.9160 Å
α = 99.58°, β = 99.58°, γ = 120.01°
Element x y z (fractional)
Pm1 0.0000 0.0000 0.0000
Pm2 0.1662 0.8338 0.5000
Pm3 0.3319 0.6681 0.0000
Pm4 0.6681 0.3319 0.0000
Pm5 0.8338 0.1662 0.5000
Np1 0.5000 0.5000 0.5000
Bi1 0.0875 0.4174 0.2520
Bi2 0.2531 0.2531 0.7484
Bi3 0.4174 0.0875 0.2520
Bi4 0.5826 0.9125 0.7480
Bi5 0.7469 0.7469 0.2516
Bi6 0.9125 0.5826 0.7480

=====

What did the first record say?
Computed, not measured: an optimized crystal structure of Fe2TcNi at the PBE-GGA level of DFT.

Formation enthalpy at 0 K (eV per atom): 0.06
Calculated density (g/cm3): 9.42
Total magnetic moment (μB/f.u.): 3.1
Total energy (eV per atom): -8.2093
D(E_F) (states/eV per cell): 7.7

a = 3.6295 Å, b = 3.6295 Å, c = 7.1840 Å
α = 90.00°, β = 90.00°, γ = 90.00°
Element x y z (fractional)
Fe1 0.0000 0.0000 0.0000
Fe2 0.0000 0.5000 0.2500
Fe3 0.5000 0.0000 0.7500
Fe4 0.5000 0.5000 0.5000
Tc1 0.0000 0.0000 0.5000
Tc2 0.5000 0.5000 0.0000
Ni1 0.0000 0.5000 0.7500
Ni2 0.5000 0.0000 0.2500

=====

What is the formula in the third record?
CaCd2Si